(1)
## LaPrSmCd (PBE-GGA)

Data for a relaxed LaPrSmCd crystal.

Cell lengths 5.6513, 5.6513, 5.6513 Å; angles 60.00, 60.00, 60.00 degrees
Fractional coordinates of all 4 atoms:
Pr1 0.2500 0.2500 0.2500
Cd1 0.0000 0.0000 0.0000
Sm1 0.5000 0.5000 0.5000
La1 0.7500 0.7500 0.7500

The energy above the most stable polymorph in this dataset is 2.59 kcal/mol of atoms. Its space group is F-43m (216). For the formation energy, the calculation gives -0.04 eV/atom.



(2)
## K2CaCrPb (PBE-GGA)

Data for a relaxed K2CaCrPb crystal.

Cell lengths 6.1482, 6.0784, 6.1482 Å; angles 90.00, 90.00, 90.00 degrees
Site moments in Bohr magnetons follow the coordinates.
Fractional coordinates of all 5 atoms:
Pb1 0.5000 0.5000 0.5000  -0.33
Cr1 0.0000 0.0000 0.0000  4.16
Ca1 0.0000 0.5000 0.0000  0.02
K1 0.0000 0.0000 0.5000  0.02
K2 0.5000 0.0000 0.0000  0.02

The energy above the most stable polymorph in this dataset is 4.81 kcal/mol of atoms. Its space group is P4/mmm (123). For the formation energy, the calculation gives 0.72 eV/atom.



(3)
## Ca2YHg (PBE-GGA)

Data for a relaxed Ca2YHg crystal.

Cell lengths 3.6751, 3.6751, 9.5530 Å; angles 90.00, 90.00, 90.06 degrees
Site moments in Bohr magnetons follow the coordinates.
Fractional coordinates of all 4 atoms:
Y1 0.5000 0.5000 0.7500  0.18
Ca1 0.0000 0.0000 0.0437  0.01
Ca2 0.0000 0.0000 0.4563  0.01
Hg1 0.5000 0.5000 0.2500  0.00

Its space group is P4/mmm (123). For the formation energy, the calculation gives -0.18 eV/atom.



(4)
## AlFe2Sn2 (PBE-GGA)

Data for a relaxed AlFe2Sn2 crystal.

Cell lengths 6.4294, 6.4294, 3.8535 Å; angles 90.00, 90.00, 90.00 degrees
Site moments in Bohr magnetons follow the coordinates.
Fractional coordinates of all 10 atoms:
Al1 0.0000 0.0000 0.0000  -0.02
Al2 0.5000 0.5000 0.0000  -0.02
Sn1 0.1638 0.6638 0.5000  -0.02
Sn2 0.6638 0.8362 0.5000  -0.02
Sn3 0.8362 0.3362 0.5000  -0.02
Sn4 0.3362 0.1638 0.5000  -0.02
Fe1 0.3587 0.8587 0.0000  0.58
Fe2 0.8587 0.6413 0.0000  0.54
Fe3 0.6413 0.1413 0.0000  0.58
Fe4 0.1413 0.3587 0.0000  0.53

Its space group is P4/mbm (127). For the formation energy, the calculation gives 0.14 eV/atom.



(5)
## CoIr2Au (PBE-GGA)

Data for a relaxed CoIr2Au crystal.

Cell lengths 4.7471, 4.7471, 2.7779 Å; angles 90.00, 90.00, 109.90 degrees
Site moments in Bohr magnetons follow the coordinates.
Fractional coordinates of all 4 atoms:
Au1 0.5000 0.0000 0.5000  0.07
Co1 0.0000 0.5000 0.5000  1.89
Ir1 0.0000 0.0000 0.0000  0.45
Ir2 0.5000 0.5000 0.0000  0.45

The energy above the most stable polymorph in this dataset is 5.10 kcal/mol of atoms. Its space group is Cmmm (65). For the formation energy, the calculation gives 0.40 eV/atom.



(6)
## MgNp4As5 (PBE-GGA)

Data for a relaxed MgNp4As5 crystal.

Cell lengths 4.1110, 5.7709, 10.7363 Å; angles 105.59, 101.04, 90.00 degrees
Site moments in Bohr magnetons follow the coordinates.
Fractional coordinates of all 10 atoms:
Mg1 0.0000 0.0000 0.0000  -0.01
Np1 0.4022 0.4022 0.8043  3.63
Np2 0.8013 0.8013 0.6027  3.68
Np3 0.1987 0.1987 0.3973  3.68
Np4 0.5978 0.5978 0.1957  3.63
As1 0.5991 0.0991 0.1983  -0.12
As2 0.8007 0.3007 0.6013  -0.12
As3 0.1993 0.6993 0.3987  -0.12
As4 0.0000 0.5000 0.0000  -0.13
As5 0.4009 0.9009 0.8017  -0.12

Its space group is Immm (71). For the formation energy, the calculation gives -0.63 eV/atom.



(7)
## RbCd3Sn (PBE-GGA)

Data for a relaxed RbCd3Sn crystal.

Cell lengths 5.8702, 5.8702, 5.8702 Å; angles 90.00, 90.00, 90.00 degrees
Fractional coordinates of all 5 atoms:
Sn1 0.0000 0.0000 0.0000
Rb1 0.5000 0.5000 0.5000
Cd1 0.0000 0.5000 0.0000
Cd2 0.0000 0.0000 0.5000
Cd3 0.5000 0.0000 0.0000

The energy above the most stable polymorph in this dataset is 4.81 kcal/mol of atoms. Its space group is Pm-3m (221). For the formation energy, the calculation gives 0.10 eV/atom.



(8)
## Sr2Mg5Hg5 (PBE-GGA)

Data for a relaxed Sr2Mg5Hg5 crystal.

Cell lengths 4.8221, 6.1515, 10.5069 Å; angles 90.00, 90.00, 90.00 degrees
Fractional coordinates of all 12 atoms:
Sr1 0.0000 0.5000 0.0000
Sr2 0.0000 0.0000 0.5000
Mg1 0.5000 0.5000 0.5000
Mg2 0.5000 0.7487 0.2435
Mg3 0.5000 0.2513 0.7565
Mg4 0.5000 0.2513 0.2435
Mg5 0.5000 0.7487 0.7565
Hg1 0.0000 0.5000 0.3313
Hg2 0.0000 0.0000 0.8175
Hg3 0.0000 0.0000 0.1825
Hg4 0.0000 0.5000 0.6687
Hg5 0.5000 0.0000 0.0000

Its space group is Pmmm (47). For the formation energy, the calculation gives -0.30 eV/atom.



(9)
## Tb2DyGa4 (PBE-GGA)

Data for a relaxed Tb2DyGa4 crystal.

Cell lengths 4.1387, 4.2594, 9.6202 Å; angles 102.79, 102.42, 90.00 degrees
Site moments in Bohr magnetons follow the coordinates.
Fractional coordinates of all 7 atoms:
Tb1 0.8153 0.8153 0.6306  0.07
Tb2 0.1847 0.1847 0.3694  0.07
Ga1 0.6456 0.6456 0.2912  0.00
Ga2 0.3544 0.3544 0.7088  0.00
Ga3 0.0665 0.5665 0.1330  0.00
Ga4 0.9335 0.4335 0.8670  0.00
Dy1 0.5000 0.0000 0.0000  0.00

Its space group is Immm (71). For the formation energy, the calculation gives -0.63 eV/atom.



(10)
## Rb4Y3ScO8 (PBE-GGA)

Data for a relaxed Rb4Y3ScO8 crystal.

Cell lengths 6.9244, 7.6629, 6.9242 Å; angles 116.84, 120.00, 90.00 degrees
Fractional coordinates of all 16 atoms:
Rb1 0.5000 0.0000 0.0000
Rb2 0.5000 0.0000 0.5000
Rb3 0.0000 0.0000 0.0000
Rb4 0.0000 0.0000 0.5000
Y1 0.5000 0.5000 0.0000
Y2 0.5000 0.5000 0.5000
Y3 0.0000 0.5000 0.5000
Sc1 0.0000 0.5000 0.0000
O1 0.2180 0.6730 0.9548
O2 0.2180 0.6729 0.4360
O3 0.2745 0.3233 0.5489
O4 0.7368 0.6730 0.9548
O5 0.2632 0.3270 0.0452
O6 0.7255 0.6767 0.4511
O7 0.7820 0.3271 0.5640
O8 0.7820 0.3270 0.0452

The value obtained for the total DFT energy (no corrections) is -6.986 eV per atom. Its space group is R-3m (166).



(11)
## NdDyLu (PBE-GGA)

Data for a relaxed NdDyLu crystal.

Cell lengths 3.5636, 3.5636, 7.9658 Å; angles 102.93, 102.93, 90.00 degrees
Fractional coordinates of all 3 atoms:
Lu1 0.6684 0.6684 0.3369
Nd1 0.0010 0.0010 0.0020
Dy1 0.3306 0.3306 0.6611

The energy above the most stable polymorph in this dataset is 0.00 kcal/mol of atoms. Its space group is I4mm (107). For the formation energy, the calculation gives 0.03 eV/atom.



(12)
## Pm2Nd2Pb7 (PBE-GGA)

Data for a relaxed Pm2Nd2Pb7 crystal.

Cell lengths 7.3792, 7.3044, 7.3792 Å; angles 89.99, 99.57, 90.01 degrees
Fractional coordinates of all 11 atoms:
Pm1 0.7226 0.0000 0.2774
Pm2 0.2774 0.0000 0.7226
Nd1 0.8123 0.5000 0.8123
Nd2 0.1877 0.5000 0.1877
Pb1 0.9998 0.2873 0.5003
Pb2 0.5003 0.7127 0.9998
Pb3 0.0002 0.7127 0.4997
Pb4 0.4997 0.2873 0.0002
Pb5 0.0000 0.0000 0.0000
Pb6 0.5002 0.7078 0.4998
Pb7 0.4998 0.2922 0.5002

Its space group is Cmmm (65). For the formation energy, the calculation gives -0.07 eV/atom.



(13)
## AlOs3Rh (PBE-GGA)

Data for a relaxed AlOs3Rh crystal.

Cell lengths 4.6561, 4.6561, 4.6561 Å; angles 90.00, 90.00, 90.00 degrees
Fractional coordinates of all 5 atoms:
Rh1 0.0000 0.0000 0.0000
Os1 0.0000 0.5000 0.0000
Os2 0.0000 0.0000 0.5000
Os3 0.5000 0.0000 0.0000
Al1 0.5000 0.5000 0.5000

The energy above the most stable polymorph in this dataset is 13.95 kcal/mol of atoms. Its space group is Pm-3m (221). For the formation energy, the calculation gives 2.32 eV/atom.



(14)
## TaMn2In (PBE-GGA)

Data for a relaxed TaMn2In crystal.

Cell lengths 4.7092, 4.7092, 5.2883 Å; angles 83.12, 83.12, 35.37 degrees
Site moments in Bohr magnetons follow the coordinates.
Fractional coordinates of all 4 atoms:
In1 0.2500 0.2500 0.2500  -0.04
Mn1 0.9992 0.9992 0.9751  3.01
Mn2 0.5008 0.5008 0.5249  3.01
Ta1 0.7500 0.7500 0.7500  -0.33

Its space group is C2/m (12). For the formation energy, the calculation gives 0.28 eV/atom.



(15)
## SnAs2HSe (PBE-GGA)

Data for a relaxed SnAs2HSe crystal.

Cell lengths 5.3582, 5.3582, 5.3925 Å; angles 90.00, 90.00, 90.00 degrees
Site moments in Bohr magnetons follow the coordinates.
Fractional coordinates of all 5 atoms:
H1 0.5000 0.5000 0.5000  0.37
As1 0.0000 0.5000 0.0000  0.31
As2 0.5000 0.0000 0.0000  0.31
Sn1 0.0000 0.0000 0.0000  0.00
Se1 0.0000 0.0000 0.5000  0.06

The energy above the most stable polymorph in this dataset is 17.98 kcal/mol of atoms. Its space group is P4/mmm (123).



(16)
## Al3GaS (PBE-GGA)

Data for a relaxed Al3GaS crystal.

Cell lengths 4.8340, 4.8340, 4.8340 Å; angles 90.00, 90.00, 90.00 degrees
Fractional coordinates of all 5 atoms:
S1 0.5000 0.5000 0.5000
Al1 0.0000 0.5000 0.0000
Al2 0.5000 0.0000 0.0000
Al3 0.0000 0.0000 0.5000
Ga1 0.0000 0.0000 0.0000

The energy above the most stable polymorph in this dataset is 1.70 kcal/mol of atoms. Its space group is Pm-3m (221).



(17)
## NdAl2Ga (PBE-GGA)

Data for a relaxed NdAl2Ga crystal.

Cell lengths 6.6700, 6.6700, 6.6700 Å; angles 99.93, 99.93, 99.93 degrees
Fractional coordinates of all 12 atoms:
Nd1 0.3271 0.3271 0.3271
Nd2 0.6729 0.6729 0.6729
Nd3 0.0000 0.0000 0.0000
Al1 0.5000 0.2340 0.7660
Al2 0.7660 0.5000 0.2340
Al3 0.2340 0.7660 0.5000
Al4 0.5000 0.7660 0.2340
Al5 0.7660 0.2340 0.5000
Al6 0.2340 0.5000 0.7660
Ga1 0.0000 0.0000 0.5000
Ga2 0.0000 0.5000 0.0000
Ga3 0.5000 0.0000 0.0000

The energy above the most stable polymorph in this dataset is 9.02 kcal/mol of atoms. Its space group is R-3m (166). For the formation energy, the calculation gives -0.02 eV/atom.



(18)
## Hf6ZrCo2 (PBE-GGA)

Data for a relaxed Hf6ZrCo2 crystal.

Cell lengths 7.7564, 7.7564, 7.7564 Å; angles 105.32, 116.63, 106.71 degrees
Fractional coordinates of all 18 atoms:
Hf1 0.4983 0.7995 0.6988
Hf2 0.5017 0.2005 0.3012
Hf3 0.1008 0.7995 0.3012
Hf4 0.8992 0.2005 0.6988
Hf5 0.7835 0.0124 0.2289
Hf6 0.2165 0.9876 0.7711
Hf7 0.2165 0.4454 0.2289
Hf8 0.7835 0.5546 0.7711
Hf9 0.7038 0.3116 0.0154
Hf10 0.2962 0.6884 0.9846
Hf11 0.2962 0.3116 0.6078
Hf12 0.7038 0.6884 0.3922
Zr1 0.0000 0.5000 0.5000
Zr2 0.0000 0.0000 0.0000
Co1 0.5000 0.1243 0.6243
Co2 0.5000 0.8757 0.3757
Co3 0.6445 0.6445 0.0000
Co4 0.3555 0.3555 0.0000

Its space group is Immm (71). For the formation energy, the calculation gives -0.13 eV/atom.



(19)
## LaDyHoZn (PBE-GGA)

Data for a relaxed LaDyHoZn crystal.

Cell lengths 5.4270, 5.4270, 5.4270 Å; angles 60.00, 60.00, 60.00 degrees
Fractional coordinates of all 4 atoms:
Zn1 0.0000 0.0000 0.0000
La1 0.7500 0.7500 0.7500
Ho1 0.5000 0.5000 0.5000
Dy1 0.2500 0.2500 0.2500

The energy above the most stable polymorph in this dataset is 4.34 kcal/mol of atoms. Its space group is F-43m (216). For the formation energy, the calculation gives 0.03 eV/atom.



(20)
## KHoScCl6 (PBE-GGA)

Data for a relaxed KHoScCl6 crystal.

Cell lengths 6.7463, 6.7463, 14.2249 Å; angles 90.00, 90.00, 120.00 degrees
Site moments in Bohr magnetons follow the coordinates.
Fractional coordinates of all 18 atoms:
K1 0.0000 0.0000 0.0000  0.00
K2 0.0000 0.0000 0.5000  0.00
Ho1 0.6667 0.3333 0.2500  0.13
Ho2 0.3333 0.6667 0.7500  0.13
Sc1 0.3333 0.6667 0.2500  0.62
Sc2 0.6667 0.3333 0.7500  0.62
Cl1 0.6313 0.6374 0.1436  0.00
Cl2 0.0061 0.3687 0.1436  0.00
Cl3 0.3687 0.0061 0.6436  0.00
Cl4 0.9939 0.6313 0.8564  0.00
Cl5 0.3626 0.3687 0.3564  0.00
Cl6 0.0061 0.6374 0.3564  0.00
Cl7 0.6374 0.0061 0.8564  0.00
Cl8 0.6313 0.9939 0.3564  0.00
Cl9 0.9939 0.3626 0.6436  0.00
Cl10 0.3626 0.9939 0.1436  0.00
Cl11 0.6374 0.6313 0.6436  0.00
Cl12 0.3687 0.3626 0.8564  0.00

The value obtained for the total DFT energy (no corrections) is -4.637 eV per atom. Its space group is P-31c (163).